The following is a meta-GGA SCAN calculation of SrHgO2 at its PBEsol-relaxed geometry, from Alexandria.

Structure (extended XYZ):
```
12
Lattice="3.823 0.000 0.000 -1.911 3.311 0.000 0.000 0.000 19.013" Properties=species:S:1:pos:R:3 pbc="T T T"
Sr 0.000 0.000 0.000
Sr 0.000 2.207 12.675
Sr 1.911 1.104 6.338
Hg 0.000 0.000 9.507
Hg 0.000 2.207 3.169
Hg 1.911 1.104 15.844
O 0.000 0.000 7.531
O 0.000 0.000 11.482
O 0.000 2.207 1.193
O 0.000 2.207 5.144
O 1.911 1.104 13.869
O 1.911 1.104 17.820
```

Properties
SG ... R-3m
Energy ... -27.5673 eV per atom
ΔE_f (raw) ... -1.84 eV/atom